# 1
An optimized crystal structure of BaMgPaN3. Source: Alexandria via LeMat-Bulk, functional GGA-PBE.

Computed properties:
* space-group type: P2_1/m (11)
* ΔE_f (raw): -634 kJ/mol of formula units

abc: 3.7132 7.8056 7.8897
angles: 104.33 90.00 90.00
Last column: nearest neighbours and their distance in Å.
Fractional positions:
Ba 0.7500 0.7938 0.7718  3 N 2.74-2.96
Ba 0.2500 0.2062 0.2282  3 N 2.74-2.96
N 0.7500 0.1789 0.5503  3 Mg 2.07-2.12
N 0.2500 0.8211 0.4497  3 Mg 2.07-2.12
N 0.7500 0.4631 0.1346  3 Pa 2.25-2.42
N 0.2500 0.5369 0.8654  3 Pa 2.25-2.42
N 0.7500 0.8355 0.1276  1 Mg 2.06
N 0.2500 0.1645 0.8724  1 Mg 2.06
Pa 0.2500 0.6652 0.1545  6 N 2.25-2.42
Pa 0.7500 0.3348 0.8455  6 N 2.25-2.42
Mg 0.7500 0.9139 0.3967  4 N 2.06-2.12
Mg 0.2500 0.0861 0.6033  4 N 2.06-2.12

---

# 2
An optimized crystal structure of SrCd2TcO6. Source: Alexandria via LeMat-Bulk, functional GGA-PBE.

Computed properties:
* space-group type: P2_1/c (14)
* ΔE_f (raw): -1445 kJ/mol of formula units

abc: 5.7545 5.8268 8.3726
angles: 90.00 90.38 90.00
Last column: nearest neighbours and their distance in Å.
Fractional positions:
Cd 0.5155 0.4706 0.2331  4 O 2.26-2.31
Cd 0.4845 0.5294 0.7669  4 O 2.26-2.31
Cd 0.0155 0.0294 0.7331  4 O 2.26-2.31
Cd 0.9845 0.9706 0.2669  4 O 2.26-2.31
O 0.2989 0.6397 0.0399  1 Tc 1.93
O 0.3936 0.8998 0.7164  1 Tc 2.00
O 0.8936 0.6002 0.2164  1 Tc 2.00
O 0.7989 0.8603 0.5399  1 Tc 1.93
O 0.8788 0.7800 0.9163  1 Tc 1.91
O 0.3788 0.7200 0.4163  1 Tc 1.91
O 0.1064 0.3998 0.7836  1 Tc 2.00
O 0.7011 0.3603 0.9601  1 Tc 1.93
O 0.6064 0.1002 0.2836  1 Tc 2.00
O 0.6212 0.2800 0.5837  1 Tc 1.91
O 0.2011 0.1397 0.4601  1 Tc 1.93
O 0.1212 0.2200 0.0837  1 Tc 1.91
Tc 0.0000 0.5000 0.0000  6 O 1.91-2.00
Tc 0.5000 0.0000 0.5000  6 O 1.91-2.00
Sr 0.5000 0.0000 0.0000  6 O 2.42-2.63
Sr 0.0000 0.5000 0.5000  6 O 2.42-2.63

---

# 3
An optimized crystal structure of BaAcH. Source: Alexandria via LeMat-Bulk, functional GGA-PBE.

Computed properties:
* space-group type: P3m1 (156)
* E: -3.25 eV/atom

abc: 4.0978 4.0978 6.7507
angles: 90.00 90.00 120.00
Last column: nearest neighbours and their distance in Å.
Fractional positions:
Ac 0.3333 0.6667 0.5600  3 H 2.75
H 0.6667 0.3333 0.3510  3 Ac 2.75, 3 Ba 2.95
Ba 0.0000 0.0000 0.0890  3 H 2.95

---

# 4
An optimized crystal structure of Zr4CS. Source: Alexandria via LeMat-Bulk, functional GGA-PBE.

Computed properties:
* space-group type: C2/m (12)
* ΔE_f (raw): -451 kJ/mol of formula units

abc: 3.4381 5.7680 6.1314
angles: 99.38 90.00 107.34
Last column: nearest neighbours and their distance in Å.
Fractional positions:
S 0.5000 0.0000 0.0000  6 Zr 2.53
Zr 0.8725 0.7450 0.1642  1 C 2.29, 2 S 2.53
Zr 0.6200 0.2400 0.3905  2 C 2.34, 1 S 2.53
Zr 0.1275 0.2550 0.8358  1 C 2.29, 2 S 2.53
Zr 0.3800 0.7600 0.6095  2 C 2.34, 1 S 2.53
C 0.0000 0.0000 0.5000  6 Zr 2.29-2.34

---

# 5
An optimized crystal structure of Ho3Al2Cu. Source: Alexandria via LeMat-Bulk, functional GGA-PBE.

Computed properties:
* space-group type: P4/mmm (123)
* formation enthalpy at 0 K: -0.3523 eV/atom

abc: 3.4122 3.4122 11.4879
angles: 90.00 90.00 90.00
Last column: nearest neighbours and their distance in Å.
Fractional positions:
Ho 0.0000 0.0000 0.3474  4 Cu 2.98, 4 Al 3.12
Ho 0.0000 0.0000 0.0000  8 Al 3.14, 4 Ho 3.41
Ho 0.0000 0.0000 0.6526  4 Cu 2.98, 4 Al 3.12
Al 0.5000 0.5000 0.8253  8 Ho 3.12-3.14, 4 Al 3.41
Al 0.5000 0.5000 0.1747  8 Ho 3.12-3.14, 4 Al 3.41
Cu 0.5000 0.5000 0.5000  8 Ho 2.98

---

# 6
An optimized crystal structure of ZrTlMo2. Source: Alexandria via LeMat-Bulk, functional GGA-PBE.

Computed properties:
* space-group type: Imm2 (44)
* formation enthalpy at 0 K: 0.2276 eV/atom

abc: 5.5150 5.5150 4.6990
angles: 64.76 64.76 36.68
Last column: nearest neighbours and their distance in Å.
Fractional positions:
Tl 0.4891 0.4891 0.5108  8 Mo 2.94-3.24, 4 Zr 3.10-3.16
Zr 0.2636 0.2636 0.2364  8 Mo 2.94-3.27, 4 Tl 3.10-3.16
Mo 0.7273 0.7273 0.7729  2 Mo 2.60
Mo 0.0200 0.0200 0.9799  2 Mo 2.60

---

# 7
An optimized crystal structure of Ho4HgGeSe2. Source: Alexandria via LeMat-Bulk, functional GGA-PBE.

Computed properties:
* space-group type: I-4m2 (119)
* ΔE_f (raw): -908 kJ/mol of formula units

abc: 5.8682 5.8682 7.1724
angles: 114.15 114.15 90.00
Last column: nearest neighbours and their distance in Å.
Fractional positions:
Ho 0.9983 0.4983 0.9966  1 Ge 2.90, 3 Se 2.93-2.95, 2 Hg 2.93
Ho 0.2420 0.2420 0.4841  3 Se 2.83-2.94, 2 Ge 2.94, 1 Hg 3.02
Ho 0.7580 0.7580 0.5159  3 Se 2.83-2.94, 2 Ge 2.94, 1 Hg 3.02
Ho 0.5017 0.0017 0.0034  1 Ge 2.90, 2 Hg 2.93, 3 Se 2.93-2.95
Hg 0.5000 0.5000 0.0000  6 Ho 2.93-3.02
Ge 0.7500 0.2500 0.5000  6 Ho 2.90-2.94
Se 0.2500 0.7500 0.5000  6 Ho 2.94-2.95
Se 0.0000 0.0000 0.0000  6 Ho 2.83-2.93

---

# 8
An optimized crystal structure of LaFe5. Source: Alexandria via LeMat-Bulk, functional GGA-PBE.

Computed properties:
* space-group type: P4/mmm (123)
* formation enthalpy at 0 K: 0.2147 eV/atom

abc: 3.0126 3.0126 9.8764
angles: 90.00 90.00 90.00
Last column: nearest neighbours and their distance in Å.
Fractional positions:
Fe 0.5000 0.5000 0.1397  9 Fe 2.47-2.76
Fe 0.0000 0.0000 0.7346  5 Fe 2.47-2.62
Fe 0.0000 0.0000 0.0000  10 Fe 2.54-2.62
Fe 0.0000 0.0000 0.2654  5 Fe 2.47-2.62
Fe 0.5000 0.5000 0.8603  9 Fe 2.47-2.76
La 0.5000 0.5000 0.5000  4 La 3.01, 8 Fe 3.15